First-principles (PBE) data for an optimized crystal structure of Ba3Pa2Se2N4, as listed in the Alexandria database.

abc: 4.482 4.482 13.195
angles: 99.78 99.78 90.00
Element x y z (fractional)
Ba  0.000  0.000  0.000
Ba  0.168  0.168  0.336
Ba  0.832  0.832  0.664
Pa  0.414  0.414  0.828
Pa  0.586  0.586  0.172
Se  0.303  0.303  0.606
Se  0.697  0.697  0.394
N  0.424  0.924  0.848
N  0.924  0.424  0.848
N  0.076  0.576  0.152
N  0.576  0.076  0.152

Values from the calculation:
As for the space group: I4/mmm. Its spin magnetization is 0.1 Bohr magnetons per cell. The calculation puts the formation energy (no corrections) at -1428 meV per atom. For the density, the calculation gives 7.02 Mg/m³. As for the total energy: -80.7 eV per cell.

---

First-principles (PBE) data for an optimized crystal structure of MgVSn3, as listed in the Alexandria database.

abc: 5.315 5.315 5.315
angles: 90.00 90.00 90.00
Each line ends with the local moment (μB).
Element x y z (fractional)
Mg  0.000  0.000  0.000  0.01
Sn  0.000  0.500  0.000  0.00
Sn  0.000  0.000  0.500  0.00
Sn  0.500  0.000  0.000  0.00
V  0.500  0.500  0.500  3.06

Values from the calculation:
The formation energy comes out at 922 meV/atom. As for the space group: Pm-3m. The energy above the most stable polymorph in this dataset comes out at 329.2 kJ/mol of formula units. Its spin magnetization is 3.8 Bohr magnetons per cell. For the density, the calculation gives 4.77 Mg/m³. As for the total energy: -18.1 eV per cell.

---

First-principles (PBE) data for an optimized crystal structure of Li2HfP, as listed in the Alexandria database.

abc: 3.664 3.664 10.667
angles: 80.11 80.11 90.00
Element x y z (fractional)
P  0.500  0.500  0.000
P  0.250  0.750  0.500
Hf  0.000  0.000  0.000
Hf  0.750  0.250  0.500
Li  0.596  0.125  0.250
Li  0.154  0.625  0.250
Li  0.375  0.404  0.750
Li  0.875  0.846  0.750

Values from the calculation:
The formation energy comes out at -353 meV/atom. As for the space group: I-42d. Its spin magnetization is 0.0 Bohr magnetons per cell. For the density, the calculation gives 5.34 Mg/m³. As for the total energy: -41.2 eV per cell.

---

First-principles (PBE) data for an optimized crystal structure of KErHgSe3, as listed in the Alexandria database.

abc: 4.235 8.828 10.214
angles: 107.41 90.00 90.00
Element x y z (fractional)
K  0.250  0.216  0.240
K  0.750  0.784  0.760
Er  0.250  0.670  0.137
Er  0.750  0.330  0.863
Hg  0.250  0.091  0.612
Hg  0.750  0.909  0.388
Se  0.750  0.894  0.128
Se  0.250  0.106  0.872
Se  0.250  0.753  0.453
Se  0.750  0.247  0.547
Se  0.750  0.458  0.149
Se  0.250  0.542  0.851

Values from the calculation:
As for the space group: P2_1/m. Its spin magnetization is 0.0 Bohr magnetons per cell. The calculation puts the formation energy (no corrections) at -1186 meV per atom. For the density, the calculation gives 5.87 Mg/m³. As for the total energy: -47.1 eV per cell.

---

First-principles (PBE) data for an optimized crystal structure of LaCrC, as listed in the Alexandria database.

abc: 3.374 3.374 9.230
angles: 90.00 90.00 90.00
Element x y z (fractional)
La  0.500  0.000  0.210
La  0.000  0.500  0.790
Cr  0.500  0.500  0.500
Cr  0.000  0.000  0.500
C  0.500  0.000  0.638
C  0.000  0.500  0.362

Values from the calculation:
The formation energy comes out at -124 meV/atom. As for the space group: P4/nmm. The energy above the most stable polymorph in this dataset comes out at 0.0 kJ/mol of formula units. Its spin magnetization is 0.0 Bohr magnetons per cell. For the density, the calculation gives 6.41 Mg/m³. As for the total energy: -48.3 eV per cell.

---

First-principles (PBE) data for an optimized crystal structure of HfZrSc2P4, as listed in the Alexandria database.

abc: 3.721 6.459 6.502
angles: 109.34 90.00 90.00
Element x y z (fractional)
Hf  0.000  0.000  0.000
Zr  0.500  0.500  0.000
Sc  0.500  0.000  0.500
Sc  0.000  0.500  0.500
P  0.500  0.248  0.249
P  0.500  0.752  0.751
P  0.000  0.247  0.749
P  0.000  0.753  0.251

Values from the calculation:
The formation energy comes out at -1420 meV/atom. As for the space group: P2/m. Its spin magnetization is 0.0 Bohr magnetons per cell. For the density, the calculation gives 5.45 Mg/m³. As for the total energy: -64.2 eV per cell.